No. 1
This record from the Alexandria database describes a relaxed structure of Pu4TlPt2. The functional is PBE.

Cell: 7.945 7.945 7.945 Å, 36.18 36.18 36.18°
Fractional positions:
Pu: 0.068 0.068 0.068
Pu: 0.233 0.233 0.233
Pu: 0.767 0.767 0.767
Pu: 0.932 0.932 0.932
Tl: 0.500 0.500 0.500
Pt: 0.361 0.361 0.361
Pt: 0.639 0.639 0.639

---

No. 2
This record from the Alexandria database describes a relaxed structure of CeTmHg6. The functional is PBE.

Output
E above lowest polymorph: 0 meV/atom

Cell: 5.027 6.733 6.733 Å, 60.15 90.00 90.00°
Fractional positions:
Ce: 0.000 0.000 0.000
Tm: 0.500 0.671 0.671
Hg: 0.000 0.000 0.501
Hg: 0.000 0.501 0.000
Hg: 0.000 0.505 0.505
Hg: 0.500 0.171 0.171
Hg: 0.500 0.175 0.660
Hg: 0.500 0.660 0.175

---

No. 3
This record from the Alexandria database describes a relaxed structure of Sm4Pt. The functional is PBE.

Output
E above lowest polymorph: 0 meV/atom

Cell: 7.468 7.468 7.468 Å, 106.15 106.15 116.33°
Fractional positions:
Sm: 0.043 0.801 0.159
Sm: 0.108 0.449 0.742
Sm: 0.116 0.957 0.758
Sm: 0.199 0.358 0.242
Sm: 0.551 0.293 0.659
Sm: 0.634 0.892 0.341
Sm: 0.642 0.884 0.841
Sm: 0.707 0.366 0.258
Pt: 0.250 0.750 0.500
Pt: 0.500 0.500 0.000

---

No. 4
This record from the Alexandria database describes a relaxed structure of SrScRh2. The functional is PBE.

Output
E above lowest polymorph: 157 meV/atom

Cell: 4.813 4.813 4.813 Å, 60.00 60.00 60.00°
Fractional positions:
Sr: 0.000 0.000 0.000
Sc: 0.500 0.500 0.500
Rh: 0.250 0.250 0.250
Rh: 0.750 0.750 0.750

---

no.,ΔE_f (eV per formula unit),calculated total energy (eV per atom)
1,-2.305,-10.583
2,-2.376,-1.824
3,-2.139,-5.411
4,-1.565,-6.070